A relaxed structure of La3ErTl4Se8, computed with GGA-PBE.

a b c (Å): 8.7164 8.7164 23.1526
angles (deg): 90.00 90.00 120.00
Space group R-3m (No. 166, hexagonal axes)
Inequivalent atoms, fractional coordinates:
La 0.0000 0.5000 0.0000 x9
Er 0.0000 0.0000 0.0000 x3
Tl 0.0000 0.0000 0.5000 x3
Tl 0.0000 0.5000 0.5000 x9
Se 0.0000 0.0000 0.2623 x6
Se 0.0127 0.5064 0.7359 x18

Calculated values
The value obtained for the formation energy (no corrections) is -22.9 eV/f.u. The calculation puts the magnetization at 0.00 Bohr magnetons per cell.